# TaHgPdPb2

TaHgPdPb2 after structural relaxation (PBE-GGA, the Alexandria database).

Lattice parameters (Å, degrees): 5.525 5.056 5.525 90.00 90.00 90.00
Positions (direct):
Pd (0.000, 0.500, 0.000)
Ta (0.500, 0.500, 0.500)
Pb (0.500, 0.000, 0.000)
Pb (0.000, 0.000, 0.500)
Hg (0.000, 0.000, 0.000)

Output
ΔE_f: 1.46 eV/atom
energy: -17.4 eV per cell
total magnetization: 0.0 μB/f.u.